Entry 1:
First-principles (PBE) data for a geometry-optimized LaNd2Se structure, as listed in the Alexandria database.

Calculated values
Crystal system ... trigonal
VASP energy ... -5.29 eV per atom
Total magnetization ... 0.00 μB per formula unit

```
LaNd2Se
1.0
-1.081 -3.355 -1.798
2.244 -3.241 0.343
-4.645 -4.841 7.471
La Nd Se
1 2 1
Cartesian
-1.747 -5.721 3.018
-0.578 -2.706 1.042
-3.677 -4.333 5.941
-3.865 -9.236 6.495
```

***

Entry 2:
First-principles (PBE) data for a geometry-optimized La2Nd3Se4 structure, as listed in the Alexandria database.

Calculated values
Crystal system ... monoclinic
VASP energy ... -5.87 eV per atom
Total magnetization ... 0.00 μB per formula unit

```
La2Nd3Se4
1.0
4.091 0.000 1.006
1.798 6.951 1.510
-0.152 0.684 9.434
La Nd Se
2 3 4
Cartesian
2.724 1.846 6.563
3.013 5.790 5.388
1.518 2.864 2.646
0.000 0.000 0.000
4.218 4.772 9.304
2.038 2.722 9.349
3.698 4.913 2.601
3.406 0.874 3.789
2.330 6.762 8.162
```

***

Entry 3:
First-principles (PBE) data for a geometry-optimized LaNdSe3 structure, as listed in the Alexandria database.

Calculated values
Crystal system ... orthorhombic
VASP energy ... -5.96 eV per atom
Total magnetization ... 0.00 μB per formula unit

```
LaNdSe3
1.0
-1.238 -2.788 2.965
6.251 -3.570 -0.746
3.827 5.322 6.601
Se La Nd
6 2 2
Cartesian
6.501 -0.426 5.366
3.644 1.205 5.706
2.689 0.938 2.004
2.766 -2.818 1.557
3.568 4.961 6.154
6.084 -1.001 1.599
6.385 2.748 5.249
-0.052 -0.605 2.461
4.034 -1.054 3.745
2.299 3.197 3.966
```

***

Entry 4:
First-principles (PBE) data for a geometry-optimized La3Nd2Se8 structure, as listed in the Alexandria database.

Calculated values
Crystal system ... monoclinic
VASP energy ... -5.77 eV per atom
Total magnetization ... 0.00 μB per formula unit

```
La3Nd2Se8
1.0
-4.046 0.343 -6.113
7.036 -1.783 -4.757
-3.446 -6.017 5.075
Se La Nd
8 3 2
Cartesian
-0.432 -5.440 -2.817
-0.130 -2.277 -7.256
-0.023 -2.017 -2.978
-0.325 -5.181 1.461
-3.772 -1.327 -5.082
3.725 -2.966 -5.512
-4.180 -4.491 -0.283
3.317 -6.130 -0.713
5.176 -1.311 -3.500
1.860 -0.471 -1.258
-2.023 0.171 -3.056
-1.367 -3.512 -0.705
0.912 -3.945 -5.090
```

***

Entry 5:
First-principles (PBE) data for a geometry-optimized LaNd4Se5 structure, as listed in the Alexandria database.

Calculated values
Crystal system ... orthorhombic
VASP energy ... -6.01 eV per atom
Total magnetization ... 0.00 μB per formula unit

```
LaNd4Se5
1.0
4.170 0.000 -0.805
-0.309 5.775 -1.603
0.008 0.005 11.250
Se Nd La
5 4 1
Cartesian
-0.155 2.887 -0.801
0.620 4.044 3.214
1.389 5.191 7.199
2.480 0.589 1.644
3.249 1.736 5.628
1.549 2.312 8.031
0.778 1.161 4.031
3.091 4.619 4.812
2.319 3.468 0.812
0.000 0.000 0.000
```

***

Entry 6:
First-principles (PBE) data for a geometry-optimized La4NdSe6 structure, as listed in the Alexandria database.

Calculated values
Crystal system ... trigonal
VASP energy ... -5.98 eV per atom
Total magnetization ... 0.00 μB per formula unit

```
La4NdSe6
1.0
-2.699 -8.065 0.250
8.027 -2.614 -1.067
1.151 -0.230 8.427
La Nd Se
8 2 12
Cartesian
4.571 -3.705 0.518
0.379 -3.358 2.055
0.091 -7.720 3.032
4.284 -8.067 1.495
6.388 -3.189 4.579
6.100 -7.551 5.556
1.908 -7.204 7.093
2.195 -2.842 6.116
3.239 -5.454 3.806
0.000 0.000 0.000
3.339 -2.616 3.305
0.591 -5.124 4.898
7.534 -2.951 1.754
2.145 -5.923 1.180
5.887 -5.784 2.713
-1.055 -7.957 5.857
-1.241 -5.648 0.839
4.060 -9.351 7.419
7.720 -5.260 6.773
4.334 -4.985 6.432
2.419 -1.558 0.192
3.140 -8.292 4.306
```